[1]
## Tb2TmZr (GGA-PBE)

Data for an optimized crystal structure of Tb2TmZr.

The calculation puts the density of states at the Fermi level at 1.5999 states/eV/atom. The uncorrected energy comes out at -5.49 eV per atom. The calculation puts the magnetic moment at 0.00 μB/cell. The calculated formation energy comes out at 0.08 eV per atom.

The space group is R3m (No. 160, hexagonal axes) and the conventional cell measures 3.4560, 3.4560 and 33.4533 Å, with angles of 90.00, 90.00 and 120.00 degrees. The asymmetric unit holds Tb at (0.0000, 0.0000, 0.0000), Tb at (0.0000, 0.0000, 0.1746), Tm at (0.0000, 0.0000, 0.7539) and Zr at (0.0000, 0.0000, 0.5872).

***

[2]
## TbTm6Zr2 (GGA-PBE)

Data for an optimized crystal structure of TbTm6Zr2.

The calculation puts the density of states at the Fermi level at 1.9655 states/eV/atom. The uncorrected energy comes out at -5.32 eV per atom. The calculation puts the magnetic moment at 0.81 μB/cell. The calculated formation energy comes out at 0.07 eV per atom.

The space group is P-6m2 (No. 187) and the conventional cell measures 3.4675, 3.4675 and 25.0866 Å, with angles of 90.00, 90.00 and 120.00 degrees. The asymmetric unit holds Tb at (0.0000, 0.0000, 0.0000), Tm at (0.0000, 0.0000, 0.2274), Tm at (0.0000, 0.0000, 0.4329), Tm at (0.3333, 0.6667, 0.1141) and Zr at (0.3333, 0.6667, 0.3316).

***

[3]
## Tb2Tm8Zr (GGA-PBE)

Data for an optimized crystal structure of Tb2Tm8Zr.

The calculation puts the density of states at the Fermi level at 1.2867 states/eV/atom. The uncorrected energy comes out at -4.83 eV per atom. The calculation puts the magnetic moment at 0.00 μB/cell. The calculated formation energy comes out at 0.04 eV per atom.

The space group is C2/m (No. 12) and the conventional cell measures 17.7069, 4.8951 and 7.7670 Å, with angles of 90.00, 105.20 and 90.00 degrees. The asymmetric unit holds Tb at (0.2265, 0.0000, 0.1348), Tm at (0.0441, 0.0000, 0.2368), Tm at (0.0886, 0.5000, 0.9442), Tm at (0.1314, 0.0000, 0.6743), Tm at (0.1784, 0.5000, 0.4095) and Zr at (0.0000, 0.5000, 0.5000).

***

[4]
## Tb12Tm3Zr (GGA-PBE)

Data for an optimized crystal structure of Tb12Tm3Zr.

The calculation puts the density of states at the Fermi level at 1.3457 states/eV/atom. The uncorrected energy comes out at -4.81 eV per atom. The calculation puts the magnetic moment at 0.00 μB/cell. The calculated formation energy comes out at 0.04 eV per atom.

The space group is P4/mmm (No. 123) and the conventional cell measures 4.9830, 4.9830 and 19.8649 Å, with angles of 90.00, 90.00 and 90.00 degrees. The asymmetric unit holds Tb at (0.0000, 0.0000, 0.0000), Tb at (0.0000, 0.0000, 0.2474), Tb at (0.0000, 0.0000, 0.5000), Tb at (0.0000, 0.5000, 0.1187), Tb at (0.0000, 0.5000, 0.3732), Tm at (0.5000, 0.5000, 0.2479), Tm at (0.5000, 0.5000, 0.5000) and Zr at (0.5000, 0.5000, 0.0000).

***

[5]
## Tb6Tm8Zr (GGA-PBE)

Data for an optimized crystal structure of Tb6Tm8Zr.

The calculation puts the density of states at the Fermi level at 1.2138 states/eV/atom. The uncorrected energy comes out at -4.59 eV per atom. The calculation puts the magnetic moment at 0.00 μB/cell. The calculated formation energy comes out at 0.21 eV per atom.

The space group is R-3 (No. 148, hexagonal axes) and the conventional cell measures 9.5601, 9.5601 and 17.4081 Å, with angles of 90.00, 90.00 and 120.00 degrees. The asymmetric unit holds Tb at (0.0389, 0.4136, 0.3433), Tm at (0.0000, 0.0000, 0.4131), Tm at (0.0650, 0.2404, 0.1678) and Zr at (0.0000, 0.0000, 0.0000).

***

[6]
## TbTm14Zr (GGA-PBE)

Data for an optimized crystal structure of TbTm14Zr.

The calculation puts the density of states at the Fermi level at 1.2147 states/eV/atom. The uncorrected energy comes out at -4.70 eV per atom. The calculation puts the magnetic moment at 0.00 μB/cell. The calculated formation energy comes out at 0.04 eV per atom.

The space group is P4/mmm (No. 123) and the conventional cell measures 6.9471, 6.9471 and 9.7775 Å, with angles of 90.00, 90.00 and 90.00 degrees. The asymmetric unit holds Tb at (0.0000, 0.0000, 0.0000), Tm at (0.0000, 0.0000, 0.5000), Tm at (0.0000, 0.5000, 0.0000), Tm at (0.0000, 0.5000, 0.5000), Tm at (0.2547, 0.2547, 0.2454), Tm at (0.5000, 0.5000, 0.5000) and Zr at (0.5000, 0.5000, 0.0000).

***

[7]
## Tb3Tm3Zr (GGA-PBE)

Data for an optimized crystal structure of Tb3Tm3Zr.

The calculation puts the density of states at the Fermi level at 1.3673 states/eV/atom. The uncorrected energy comes out at -4.92 eV per atom. The calculation puts the magnetic moment at 0.00 μB/cell. The calculated formation energy comes out at 0.20 eV per atom.

The space group is R-3 (No. 148, hexagonal axes) and the conventional cell measures 6.0581, 6.0581 and 40.9264 Å, with angles of 90.00, 90.00 and 120.00 degrees. The asymmetric unit holds Tb at (0.0002, 0.3309, 0.1315), Tm at (0.9999, 0.3347, 0.9389) and Zr at (0.0000, 0.0000, 0.3333).

***

[8]
## Tb4Tm6Zr (GGA-PBE)

Data for an optimized crystal structure of Tb4Tm6Zr.

The calculation puts the density of states at the Fermi level at 1.4610 states/eV/atom. The uncorrected energy comes out at -4.75 eV per atom. The calculation puts the magnetic moment at 2.54 μB/cell. The calculated formation energy comes out at 0.15 eV per atom.

The space group is P4/mnc (No. 128) and the conventional cell measures 8.6600, 8.6600 and 8.8163 Å, with angles of 90.00, 90.00 and 90.00 degrees. The asymmetric unit holds Tb at (0.1462, 0.3538, 0.2500), Tm at (0.0000, 0.0000, 0.1737), Tm at (0.1520, 0.6537, 0.5000) and Zr at (0.0000, 0.0000, 0.5000).

***

[9]
## Tb6Tm3Zr (GGA-PBE)

Data for an optimized crystal structure of Tb6Tm3Zr.

The calculation puts the density of states at the Fermi level at 1.5431 states/eV/atom. The uncorrected energy comes out at -4.76 eV per atom. The calculation puts the magnetic moment at 0.00 μB/cell. The calculated formation energy comes out at 0.21 eV per atom.

The space group is P2_1/c (No. 14) and the conventional cell measures 4.8760, 11.4036 and 11.4219 Å, with angles of 90.00, 90.04 and 90.00 degrees. The asymmetric unit holds Tb at (0.9996, 0.0013, 0.2140), Tb at (0.9999, 0.2136, 0.9986), Tb at (0.5002, 0.1489, 0.6485), Tm at (0.5000, 0.0000, 0.0000), Tm at (0.4996, 0.1451, 0.3553) and Zr at (0.0000, 0.0000, 0.5000).

***

[10]
## Tb6Tm4Zr (GGA-PBE)

Data for an optimized crystal structure of Tb6Tm4Zr.

The calculation puts the density of states at the Fermi level at 1.6065 states/eV/atom. The uncorrected energy comes out at -4.77 eV per atom. The calculation puts the magnetic moment at 1.00 μB/cell. The calculated formation energy comes out at 0.16 eV per atom.

The space group is P4/mnc (No. 128) and the conventional cell measures 8.7381, 8.7381 and 8.7666 Å, with angles of 90.00, 90.00 and 90.00 degrees. The asymmetric unit holds Tb at (0.0000, 0.0000, 0.1743), Tb at (0.1497, 0.3456, 0.5000), Tm at (0.1459, 0.6459, 0.2500) and Zr at (0.0000, 0.0000, 0.5000).

***

[11]
## Tb14TmZr (GGA-PBE)

Data for an optimized crystal structure of Tb14TmZr.

The calculation puts the density of states at the Fermi level at 1.2418 states/eV/atom. The uncorrected energy comes out at -4.83 eV per atom. The calculation puts the magnetic moment at 0.00 μB/cell. The calculated formation energy comes out at 0.04 eV per atom.

The space group is P4/mmm (No. 123) and the conventional cell measures 7.0650, 7.0650 and 9.9624 Å, with angles of 90.00, 90.00 and 90.00 degrees. The asymmetric unit holds Tb at (0.0000, 0.0000, 0.0000), Tb at (0.0000, 0.5000, 0.0000), Tb at (0.0000, 0.5000, 0.5000), Tb at (0.2454, 0.2454, 0.2557), Tb at (0.5000, 0.5000, 0.0000), Tm at (0.5000, 0.5000, 0.5000) and Zr at (0.0000, 0.0000, 0.5000).

***

[12]
## Tb3Tm8Zr (GGA-PBE)

Data for an optimized crystal structure of Tb3Tm8Zr.

The calculation puts the density of states at the Fermi level at 1.1453 states/eV/atom. The uncorrected energy comes out at -4.11 eV per atom. The calculation puts the magnetic moment at 0.00 μB/cell. The calculated formation energy comes out at 0.74 eV per atom.

The space group is I4/mmm (No. 139) and the conventional cell measures 7.5684, 7.5684 and 14.9783 Å, with angles of 90.00, 90.00 and 90.00 degrees. The asymmetric unit holds Tb at (0.0000, 0.0000, 0.0000), Tb at (0.0000, 0.5000, 0.2500), Tm at (0.2397, 0.2397, 0.3804) and Zr at (0.0000, 0.0000, 0.5000).

***

[13]
## Tb15Tm4Zr (GGA-PBE)

Data for an optimized crystal structure of Tb15Tm4Zr.

The calculation puts the density of states at the Fermi level at 1.3298 states/eV/atom. The uncorrected energy comes out at -4.76 eV per atom. The calculation puts the magnetic moment at 0.00 μB/cell. The calculated formation energy comes out at 0.03 eV per atom.

The space group is P4/mmm (No. 123) and the conventional cell measures 4.9938, 4.9938 and 24.8476 Å, with angles of 90.00, 90.00 and 90.00 degrees. The asymmetric unit holds Tb at (0.0000, 0.0000, 0.0000), Tb at (0.0000, 0.0000, 0.1976), Tb at (0.0000, 0.0000, 0.3991), Tb at (0.0000, 0.5000, 0.0948), Tb at (0.0000, 0.5000, 0.2978), Tb at (0.0000, 0.5000, 0.5000), Tm at (0.5000, 0.5000, 0.1979), Tm at (0.5000, 0.5000, 0.3990) and Zr at (0.5000, 0.5000, 0.0000).

***

[14]
## Tb6Tm2Zr (GGA-PBE)

Data for an optimized crystal structure of Tb6Tm2Zr.

The calculation puts the density of states at the Fermi level at 1.8225 states/eV/atom. The uncorrected energy comes out at -4.96 eV per atom. The calculation puts the magnetic moment at 0.14 μB/cell. The calculated formation energy comes out at 0.07 eV per atom.

The space group is P-6m2 (No. 187) and the conventional cell measures 3.5266, 3.5266 and 25.8320 Å, with angles of 90.00, 90.00 and 120.00 degrees. The asymmetric unit holds Tb at (0.0000, 0.0000, 0.0674), Tb at (0.0000, 0.0000, 0.2845), Tb at (0.3333, 0.6667, 0.3990), Tm at (0.3333, 0.6667, 0.1748) and Zr at (0.0000, 0.0000, 0.5000).

***

[15]
## Tb7Tm12Zr (GGA-PBE)

Data for an optimized crystal structure of Tb7Tm12Zr.

The calculation puts the density of states at the Fermi level at 1.0955 states/eV/atom. The uncorrected energy comes out at -3.94 eV per atom. The calculation puts the magnetic moment at 0.00 μB/cell. The calculated formation energy comes out at 0.79 eV per atom.

The space group is Im-3m (No. 229) and the conventional cell measures 11.2192, 11.2192 and 11.2192 Å, with angles of 90.00, 90.00 and 90.00 degrees. The asymmetric unit holds Tb at (0.0000, 0.0000, 0.5000), Tb at (0.2500, 0.2500, 0.2500), Tm at (0.0000, 0.2176, 0.2176) and Zr at (0.0000, 0.0000, 0.0000).

***

[16]
## Tb4Tm3Zr (GGA-PBE)

Data for an optimized crystal structure of Tb4Tm3Zr.

The calculation puts the density of states at the Fermi level at 1.5935 states/eV/atom. The uncorrected energy comes out at -4.86 eV per atom. The calculation puts the magnetic moment at 0.00 μB/cell. The calculated formation energy comes out at 0.20 eV per atom.

The space group is C2/m (No. 12) and the conventional cell measures 25.6520, 5.5361 and 3.4628 Å, with angles of 90.00, 90.05 and 90.00 degrees. The asymmetric unit holds Tb at (0.1002, 0.0000, 0.4993), Tb at (0.2220, 0.0000, 0.4991), Tm at (0.0000, 0.5000, 0.5000), Tm at (0.1534, 0.5000, 0.9991) and Zr at (0.0000, 0.0000, 0.0000).

***

[17]
## Tb2Tm3Zr (GGA-PBE)

Data for an optimized crystal structure of Tb2Tm3Zr.

The calculation puts the density of states at the Fermi level at 1.4773 states/eV/atom. The uncorrected energy comes out at -5.03 eV per atom. The calculation puts the magnetic moment at 0.00 μB/cell. The calculated formation energy comes out at 0.18 eV per atom.

The space group is C2/m (No. 12) and the conventional cell measures 17.1286, 3.3570 and 13.8220 Å, with angles of 90.00, 116.53 and 90.00 degrees. The asymmetric unit holds Tb at (0.1489, 0.0000, 0.4681), Tb at (0.1779, 0.5000, 0.8773), Tm at (0.0350, 0.5000, 0.2183), Tm at (0.0989, 0.0000, 0.0301), Tm at (0.2464, 0.0000, 0.2969) and Zr at (0.0655, 0.0000, 0.6462).

***

[18]
## Tb2TmZr (GGA-PBE)

Data for an optimized crystal structure of Tb2TmZr.

The calculation puts the density of states at the Fermi level at 1.1936 states/eV/atom. The uncorrected energy comes out at -5.48 eV per atom. The calculation puts the magnetic moment at 0.00 μB/cell. The calculated formation energy comes out at 0.09 eV per atom.

The space group is P4/mmm (No. 123) and the conventional cell measures 4.8629, 4.8629 and 4.8353 Å, with angles of 90.00, 90.00 and 90.00 degrees. The asymmetric unit holds Tb at (0.0000, 0.5000, 0.0000), Tm at (0.0000, 0.0000, 0.5000) and Zr at (0.5000, 0.5000, 0.5000).

***

[19]
## TbTm2Zr (GGA-PBE)

Data for an optimized crystal structure of TbTm2Zr.

The calculation puts the density of states at the Fermi level at 2.0638 states/eV/atom. The uncorrected energy comes out at -5.37 eV per atom. The calculation puts the magnetic moment at 0.00 μB/cell. The calculated formation energy comes out at 0.16 eV per atom.

The space group is P4/mmm (No. 123) and the conventional cell measures 3.9715, 3.9715 and 7.2502 Å, with angles of 90.00, 90.00 and 90.00 degrees. The asymmetric unit holds Tb at (0.0000, 0.0000, 0.0000), Tm at (0.5000, 0.5000, 0.2752) and Zr at (0.0000, 0.0000, 0.5000).